Entry 1:
Below is Cr2Os at its PBEsol-relaxed geometry, with properties calculated at the meta-GGA SCAN level.

Computed properties:
* mass density: 13.64 Mg/m³
* ΔH_f (0 K): -14 meV/atom
* total DFT energy (no corrections): -36.230 eV per atom

Unit cell a=4.662 b=4.662 c=4.662 alpha=60.00 beta=60.00 gamma=60.00
Fractional positions:
Cr  0.000  0.000  0.000
Cr  0.000  0.000  0.500
Cr  0.000  0.500  0.000
Cr  0.500  0.000  0.000
Os  0.375  0.375  0.375
Os  0.625  0.625  0.625

***

Entry 2:
Below is Pt2PbW at its PBEsol-relaxed geometry, with properties calculated at the meta-GGA SCAN level.

Computed properties:
* mass density: 18.55 Mg/m³
* ΔH_f (0 K): 458 meV/atom
* total DFT energy (no corrections): -71.006 eV per atom

Unit cell a=2.942 b=2.942 c=27.996 alpha=90.00 beta=90.00 gamma=120.00
Fractional positions:
Pt  0.000  0.000  0.000
Pt  0.000  0.000  0.253
Pt  0.333  0.667  0.667
Pt  0.333  0.667  0.919
Pt  0.667  0.333  0.333
Pt  0.667  0.333  0.586
Pb  0.000  0.000  0.499
Pb  0.333  0.667  0.166
Pb  0.667  0.333  0.832
W  0.000  0.000  0.739
W  0.333  0.667  0.406
W  0.667  0.333  0.073

***

Entry 3:
Below is LiSiTe2 at its PBEsol-relaxed geometry, with properties calculated at the meta-GGA SCAN level.

Computed properties:
* ΔE_f (raw): -0.2532 eV per atom
* mass density: 4.89 Mg/m³
* energy relative to the lowest polymorph listed for this composition: 40 meV per atom
* total DFT energy (no corrections): -21.980 eV per atom

Unit cell a=3.913 b=3.799 c=13.261 alpha=90.00 beta=90.00 gamma=90.00
Fractional positions:
Li  0.000  0.000  0.000
Li  0.000  0.500  0.500
Si  0.500  0.000  0.738
Si  0.500  0.500  0.238
Te  0.000  0.000  0.289
Te  0.000  0.500  0.789
Te  0.500  0.000  0.549
Te  0.500  0.500  0.049

***

Entry 4:
Below is La3PPd at its PBEsol-relaxed geometry, with properties calculated at the meta-GGA SCAN level.

Computed properties:
* mass density: 5.65 Mg/m³
* ΔH_f (0 K): -296 meV/atom
* total DFT energy (no corrections): -34.793 eV per atom

Unit cell a=5.461 b=5.461 c=5.461 alpha=90.00 beta=90.00 gamma=90.00
Fractional positions:
La  0.000  0.000  0.500
La  0.000  0.500  0.000
La  0.500  0.000  0.000
P  0.500  0.500  0.500
Pd  0.000  0.000  0.000

***

Entry 5:
Below is LaBeRe2 at its PBEsol-relaxed geometry, with properties calculated at the meta-GGA SCAN level.

Computed properties:
* mass density: 12.58 Mg/m³
* ΔH_f (0 K): 895 meV/atom
* total DFT energy (no corrections): -46.518 eV per atom

Unit cell a=3.876 b=3.876 c=4.573 alpha=90.00 beta=90.00 gamma=90.00
Fractional positions:
La  0.000  0.000  0.000
Be  0.500  0.500  0.000
Re  0.000  0.500  0.500
Re  0.500  0.000  0.500

***

Entry 6:
Below is TaTl2Ru at its PBEsol-relaxed geometry, with properties calculated at the meta-GGA SCAN level.

Computed properties:
* mass density: 15.20 Mg/m³
* ΔH_f (0 K): 637 meV/atom
* total DFT energy (no corrections): -60.894 eV per atom

Unit cell a=3.076 b=4.721 c=5.206 alpha=90.00 beta=93.59 gamma=90.00
Fractional positions:
Ta  0.000  0.000  0.000
Tl  0.289  0.500  0.744
Tl  0.711  0.500  0.256
Ru  0.500  0.000  0.500